(1)
## TaTiCuIr (PBE)

Data for TaTiCuIr after structural relaxation.

Unit cell a=6.283 b=6.283 c=6.283 alpha=90.00 beta=90.00 gamma=90.00
Space group F-43m (No. 216)
Unique sites:
Ta: 0.000 0.000 0.000 x4
Ti: 0.000 0.000 0.500 x4
Cu: 0.250 0.250 0.750 x4
Ir: 0.250 0.250 0.250 x4

(2)
## TaVCuIr (PBE)

Data for TaVCuIr after structural relaxation.

Unit cell a=6.179 b=6.179 c=6.179 alpha=90.00 beta=90.00 gamma=90.00
Space group F-43m (No. 216)
Unique sites:
Ta: 0.000 0.000 0.000 x4
V: 0.250 0.250 0.750 x4
Cu: 0.000 0.000 0.500 x4
Ir: 0.250 0.250 0.250 x4

(3)
## Ta2CuIrW (PBE)

Data for Ta2CuIrW after structural relaxation.

Unit cell a=4.765 b=4.765 c=4.554 alpha=90.00 beta=90.00 gamma=90.00
Space group P4/mmm (No. 123)
Unique sites:
Ta: 0.000 0.500 0.000 x2
Cu: 0.000 0.000 0.500 x1
Ir: 0.500 0.500 0.500 x1
W: 0.000 0.000 0.000 x1

(4)
## ZrTaCuIr (PBE)

Data for ZrTaCuIr after structural relaxation.

Unit cell a=6.471 b=6.471 c=6.471 alpha=90.00 beta=90.00 gamma=90.00
Space group F-43m (No. 216)
Unique sites:
Zr: 0.000 0.000 0.000 x4
Ta: 0.000 0.000 0.500 x4
Cu: 0.250 0.250 0.750 x4
Ir: 0.250 0.250 0.250 x4

(5)
## Tb2Cu15Ir2 (PBE)

Data for Tb2Cu15Ir2 after structural relaxation.

Unit cell a=8.5968 b=8.5968 c=12.5253 alpha=90.00 beta=90.00 gamma=120.00
Space group R-3m (No. 166, hexagonal axes)
Unique sites:
Tb: 0.0000 0.0000 0.1649 x6
Cu: 0.0000 0.2926 0.5000 x18
Cu: 0.0000 0.5000 0.0000 x9
Cu: 0.0022 0.5011 0.6494 x18
Ir: 0.0000 0.0000 0.3957 x6

(6)
## Tb3CuIr3 (PBE)

Data for Tb3CuIr3 after structural relaxation.

Unit cell a=4.205 b=10.131 c=13.586 alpha=90.00 beta=90.00 gamma=90.00
Space group Cmcm (No. 63)
Unique sites:
Tb: 0.000 0.012 0.250 x4
Tb: 0.000 0.297 0.102 x8
Cu: 0.000 0.000 0.000 x4
Ir: 0.000 0.270 0.750 x4
Ir: 0.000 0.413 0.590 x8

(7)
## Tb4CuIr (PBE)

Data for Tb4CuIr after structural relaxation.

Unit cell a=6.962 b=6.886 c=6.880 alpha=90.00 beta=92.37 gamma=90.00
Space group P2_1/c (No. 14)
Unique sites:
Tb: 0.158 0.160 0.171 x4
Tb: 0.332 0.660 0.156 x4
Cu: 0.500 0.000 0.000 x2
Ir: 0.000 0.000 0.500 x2

(8)
## Tb4CuIr2 (PBE)

Data for Tb4CuIr2 after structural relaxation.

Summary:
The calculation puts the energy relative to the lowest polymorph listed for this composition at 0 meV per atom.

Unit cell a=4.8550 b=4.8550 c=23.8116 alpha=90.00 beta=90.00 gamma=120.00
Space group R-3m (No. 166, hexagonal axes)
Unique sites:
Tb: 0.0000 0.0000 0.1231 x6
Tb: 0.0000 0.0000 0.3737 x6
Cu: 0.0000 0.0000 0.5000 x3
Ir: 0.0000 0.0000 0.2488 x6

Looking at magnetic moment for the records above, in order, we have 0.0002 0.5164 0.0000 0.0000 0.0000 0.0000 0.0000 0.0000 μB per atom.
Looking at E_form for the records above, in order, we have -0.284 -0.168 1.789 -0.254 -0.130 -0.688 -0.326 -0.625 eV/atom.
Looking at ρ for the records above, in order, we have 13.0 13.7 12.9 12.9 10.3 12.8 9.0 11.1 g cm⁻³.